VASP calculation (PBE with a Hubbard U) on a relaxed MnO2 crystal.

a = 2.9302 Å, b = 7.1682 Å, c = 7.1719 Å
α = 87.54°, β = 78.22°, γ = 78.21°
With the nearest neighbours (Å) after each atom.
Atoms (fractional coordinates):
1 O 0.8357 0.7090 0.6236  3 Mn 1.92-1.93
2 O 0.5434 0.6242 0.2932  3 Mn 1.92-1.93
3 O 0.4577 0.3786 0.7100  3 Mn 1.92-1.93
4 O 0.2051 0.6411 0.9528  3 Mn 1.95
5 O 0.1651 0.2940 0.3797  3 Mn 1.92-1.93
6 O 0.1566 0.0495 0.6412  3 Mn 1.95
7 O 0.7961 0.3618 0.0503  3 Mn 1.95
8 O 0.8443 0.9533 0.3618  3 Mn 1.95
9 Mn 0.6517 0.1835 0.5169  6 O 1.92-1.95
10 Mn 0.8341 0.5164 0.8195  6 O 1.92-1.95
11 Mn 0.3493 0.8193 0.4861  6 O 1.92-1.95
12 Mn 0.1671 0.4864 0.1836  6 O 1.92-1.95

Results
As for the total energy: -7.1249 eV/atom. Its space group is C2/m.